1.
RbHg2H GGA-PBE optimized geometry; E above lowest polymorph = 0.000 eV per atom; space-group type = P-1
1.0
3.830 0.003 -0.012
-1.891 5.533 -0.908
0.005 -0.614 10.399
Hg H Rb
4 2 2
Cartesian
0.017 3.681 5.240
1.935 4.285 2.371
1.927 1.241 4.240
0.009 0.636 7.108
1.927 0.476 9.155
0.017 4.445 0.325
0.015 1.506 0.929
1.929 3.415 8.550

=====

2.
MgZnS2 GGA-PBE optimized geometry; formation energy without anion corrections = -1.30 eV/f.u.; space-group type = Fm-3m
1.0
1.348 0.070 4.373
1.113 3.969 1.988
-2.726 1.797 3.206
Zn S Mg
1 2 1
Cartesian
-0.133 2.918 4.784
-0.199 4.376 7.175
-0.066 1.459 2.392
0.000 0.000 0.000

=====

3.
SrTe2Rh GGA-PBE optimized geometry; E above lowest polymorph = 0.353 eV per atom; formation energy without anion corrections = -1.72 eV/f.u.; space-group type = Cmmm
1.0
5.187 0.001 0.001
-0.007 5.187 0.001
-0.001 -0.001 3.729
Rh Te Sr
1 2 1
Cartesian
2.593 0.000 1.865
0.000 0.000 0.000
2.590 2.594 0.001
-0.004 2.593 1.865

=====

4.
Na4Ti3VSe8 GGA-PBE optimized geometry; formation energy without anion corrections = -17.60 eV/f.u.; space-group type = R-3m
1.0
-7.116 -2.150 1.040
0.405 -4.634 -6.809
5.128 -1.296 5.325
Se V Na Ti
8 1 4 3
Cartesian
-5.181 -3.014 -1.037
-2.524 -5.501 -1.554
0.037 -6.142 1.114
-1.619 -1.938 -1.558
0.941 -2.579 1.110
3.599 -5.066 0.593
-2.614 -3.662 1.628
1.032 -4.417 -2.072
0.202 -2.317 -3.405
0.000 0.000 0.000
2.564 -0.648 2.663
-3.558 -1.075 0.520
-0.994 -1.723 3.183
-0.791 -4.040 -0.222
2.767 -2.965 -0.742
-3.355 -3.392 -2.885

=====

What did we get for E? Answer: -10.0 -12.4 -17.0 -83.6 eV for the cell shown, in the order shown.
What did we get for magnetic moment? Answer: 0.0 0.0 0.0 4.7 μB/cell, in the order shown.